V4Fe9Ni11 | PBE | relaxed

Properties
DOS at the Fermi energy: 37.257 states/eV/cell
Total DFT energy (no corrections): -7.2601 eV/atom

Unit cell a=10.266 b=15.490 c=3.581 alpha=90.00 beta=90.00 gamma=90.00
Space group Cmmm (No. 65)
Asymmetric unit:
V: 0.149 0.099 0.000 (multiplicity 8)
Fe: 0.000 0.000 0.000 (multiplicity 2)
Fe: 0.121 0.418 0.000 (multiplicity 8)
Fe: 0.123 0.254 0.000 (multiplicity 8)
Ni: 0.000 0.167 0.500 (multiplicity 4)
Ni: 0.000 0.335 0.500 (multiplicity 4)
Ni: 0.000 0.500 0.500 (multiplicity 2)
Ni: 0.245 0.331 0.500 (multiplicity 8)
Ni: 0.246 0.000 0.500 (multiplicity 4)